[1]
Entry from the Alexandria database: a relaxed BeNiRh2 crystal (PBE).

The calculation puts the energy at -49.45 eV per cell. The formation energy from the elements comes out at -0.13 eV per atom.

The structure belongs to space group Immm (No. 71); the cell edges are 2.768, 4.308 and 8.166 Å and the angles 90.00°, 90.00° and 90.00°. Symmetry generates all atoms from Be at (0.000, 0.000, 0.000), Ni at (0.000, 0.000, 0.500) and Rh at (0.000, 0.500, 0.282).

=====

[2]
Entry from the Alexandria database: a relaxed La2NbS6 crystal (PBE).

The calculation puts the energy at -115.73 eV per cell. The formation energy from raw total energies comes out at -1.4637 eV/atom.

The structure belongs to space group P2_1/c (No. 14); the cell edges are 6.138, 7.623 and 10.656 Å and the angles 90.00°, 122.59° and 90.00°. Symmetry generates all atoms from La at (0.208, 0.112, 0.258), Nb at (0.500, 0.000, 0.000), S at (0.115, 0.161, 0.952), S at (0.295, 0.707, 0.951) and S at (0.329, 0.024, 0.734).

=====

[3]
Entry from the Alexandria database: a relaxed CaPrGdDy crystal (PBE).

The calculation puts the energy at -99.93 eV per cell. The formation energy from the elements comes out at 0.12 eV per atom.

The structure belongs to space group F-43m (No. 216); the cell edges are 8.232, 8.232 and 8.232 Å and the angles 90.00°, 90.00° and 90.00°. Symmetry generates all atoms from Ca at (0.000, 0.000, 0.000), Pr at (0.250, 0.250, 0.750), Gd at (0.250, 0.250, 0.250) and Dy at (0.000, 0.000, 0.500).

=====

[4]
Entry from the Alexandria database: a relaxed Pa3CuN2O6 crystal (PBE).

The calculation puts the energy at -212.57 eV per cell. The formation energy from raw total energies comes out at -2.2750 eV/atom.

The structure belongs to space group C2/m (No. 12); the cell edges are 10.738, 7.131 and 4.954 Å and the angles 90.00°, 90.29° and 90.00°. Symmetry generates all atoms from Pa at (0.000, 0.000, 0.000), Pa at (0.250, 0.250, 0.500), Cu at (0.000, 0.500, 0.500), N at (0.168, 0.000, 0.269), O at (0.091, 0.221, 0.756) and O at (0.154, 0.500, 0.328).

=====

[5]
Entry from the Alexandria database: a relaxed Ti3ZnOs crystal (PBE).

The calculation puts the energy at -33.67 eV per cell. The energy above the most stable polymorph in this dataset is 0.0 meV/atom. The formation energy from the elements comes out at 0.50 eV per atom.

The structure belongs to space group Pm-3m (No. 221); the cell edges are 4.746, 4.746 and 4.746 Å and the angles 90.00°, 90.00° and 90.00°. Symmetry generates all atoms from Ti at (0.000, 0.000, 0.500), Zn at (0.500, 0.500, 0.500) and Os at (0.000, 0.000, 0.000).

=====

[6]
Entry from the Alexandria database: a relaxed LiErZrPt crystal (PBE).

The calculation puts the energy at -92.68 eV per cell. The formation energy from the elements comes out at -0.53 eV per atom.

The structure belongs to space group F-43m (No. 216); the cell edges are 6.819, 6.819 and 6.819 Å and the angles 90.00°, 90.00° and 90.00°. Symmetry generates all atoms from Li at (0.000, 0.000, 0.000), Er at (0.250, 0.250, 0.250), Zr at (0.250, 0.250, 0.750) and Pt at (0.000, 0.000, 0.500).